Record 1
Here is a relaxed InNO2F crystal from Alexandria via LeMat-Bulk. Energies are from PBE.

- Energy: -4.19 eV/atom
- E_form (uncorrected): 381.5 meV per atom

```
InNO2F
1.0
3.786 0.000 0.000
0.000 3.786 0.000
0.000 0.000 3.619
In N O F
1 1 2 1
direct
0.000 0.000 0.000
0.500 0.500 0.500
0.000 0.500 0.500
0.500 0.000 0.500
0.500 0.500 0.000
```

---

Record 2
Here is a relaxed InNO2F crystal from Alexandria via LeMat-Bulk. Energies are from PBE.

- Energy: -3.38 eV/atom
- E_form (uncorrected): 1189.0 meV per atom

```
InNO2F
1.0
4.281 0.000 0.000
0.000 4.281 0.000
0.000 0.000 3.433
In N O F
1 1 2 1
direct
0.000 0.000 0.000
0.500 0.500 0.000
0.000 0.500 0.500
0.500 0.000 0.500
0.500 0.500 0.500
```

---

Record 3
Here is a relaxed InOsN2F crystal from Alexandria via LeMat-Bulk. Energies are from PBE.

- Energy: -4.90 eV/atom
- E_form (uncorrected): 1603.0 meV per atom
- Energy above the most stable polymorph in this dataset: 7.201 eV/f.u.

```
InOsN2F
1.0
4.226 0.000 0.000
0.000 4.226 0.000
0.000 0.000 4.040
In Os N F
1 1 2 1
direct
0.000 0.000 0.000
0.500 0.500 0.500
0.000 0.500 0.000
0.500 0.000 0.000
0.000 0.000 0.500
```

---

Record 4
Here is a relaxed InOsN2F crystal from Alexandria via LeMat-Bulk. Energies are from PBE.

- Energy: -6.34 eV/atom
- E_form (uncorrected): 162.9 meV per atom
- Energy above the most stable polymorph in this dataset: 0.000 eV/f.u.

```
InOsN2F
1.0
3.873 0.000 0.000
0.000 3.873 0.000
0.000 0.000 4.576
In Os N F
1 1 2 1
direct
0.000 0.000 0.000
0.500 0.500 0.500
0.000 0.500 0.500
0.500 0.000 0.500
0.500 0.500 0.000
```